(1)
# KBaRu2 PBE-GGA optimized geometry
# - energy relative to the lowest polymorph listed for this composition (meV per atom) = 0
# - calculated density (g/cm³) = 4.5
# - total magnetization (μB/f.u.) = 0.0
# - calculated total energy (eV per cell) = -19.8
data_KBaRu2
_space_group_name_H-M_alt 'P 1'
_space_group_IT_number 1
_space_group_name_Hall 'P 1'
_cell_length_a 4.1211
_cell_length_b 4.1211
_cell_length_c 9.6457
_cell_angle_alpha 79.30
_cell_angle_beta 79.30
_cell_angle_gamma 59.98
loop_
_atom_site_label
_atom_site_type_symbol
_atom_site_fract_x
_atom_site_fract_y
_atom_site_fract_z
Ru1 Ru 0.9633 0.9633 0.1074
Ru2 Ru 0.2822 0.2822 0.1570
K1 K 0.7054 0.7054 0.8517
Ba1 Ba 0.5491 0.5491 0.3839

(2)
# KBa2Ru PBE-GGA optimized geometry
# - energy relative to the lowest polymorph listed for this composition (meV per atom) = 54
# - calculated density (g/cm³) = 3.6
# - total magnetization (μB/f.u.) = 0.1
# - calculated total energy (eV per cell) = -12.6
data_KBa2Ru
_space_group_name_H-M_alt 'P 1'
_space_group_IT_number 1
_space_group_name_Hall 'P 1'
_cell_length_a 4.6336
_cell_length_b 4.6336
_cell_length_c 11.4415
_cell_angle_alpha 84.17
_cell_angle_beta 84.17
_cell_angle_gamma 50.90
loop_
_atom_site_label
_atom_site_type_symbol
_atom_site_fract_x
_atom_site_fract_y
_atom_site_fract_z
Ba1 Ba 0.5286 0.5286 0.4029
Ba2 Ba 0.9714 0.9714 0.0971
Ru1 Ru 0.2500 0.2500 0.2500
K1 K 0.7500 0.7500 0.7500

(3)
# KBa2Ru PBE-GGA optimized geometry
# - energy relative to the lowest polymorph listed for this composition (meV per atom) = 148
# - calculated density (g/cm³) = 3.7
# - total magnetization (μB/f.u.) = 0.0
# - calculated total energy (eV per cell) = -12.2
data_KBa2Ru
_space_group_name_H-M_alt 'P 1'
_space_group_IT_number 1
_space_group_name_Hall 'P 1'
_cell_length_a 7.1691
_cell_length_b 7.1691
_cell_length_c 7.4681
_cell_angle_alpha 61.29
_cell_angle_beta 61.29
_cell_angle_gamma 33.95
loop_
_atom_site_label
_atom_site_type_symbol
_atom_site_fract_x
_atom_site_fract_y
_atom_site_fract_z
Ba1 Ba 0.7461 0.7461 0.8307
Ba2 Ba 0.9109 0.9109 0.1184
K1 K 0.5709 0.5709 0.4743
Ru1 Ru 0.2720 0.2720 0.0766